DFT (PBE+U) results for a relaxed structure of Ge2MoO.

```
16
Lattice="6.0451 0.0000 0.0000 0.0000 6.0451 0.0000 0.0000 0.0000 7.1345" Properties=species:S:1:pos:R:3 pbc="T T T"
Ge 1.0956 1.5113 0.8918
Ge 1.5113 4.1181 2.6755
Ge 1.5113 4.9495 6.2427
Ge 1.9269 1.5113 4.4591
Ge 4.1181 4.5338 4.4591
Ge 4.5338 1.0956 6.2427
Ge 4.5338 1.9269 2.6755
Ge 4.9495 4.5338 0.8918
Mo 0.0000 0.0000 3.5673
Mo 0.0000 3.0225 5.3509
Mo 3.0225 0.0000 1.7836
Mo 3.0225 3.0225 0.0000
O 0.0000 0.0000 0.0000
O 0.0000 3.0225 1.7836
O 3.0225 0.0000 5.3509
O 3.0225 3.0225 3.5673
```

- total DFT energy (no corrections) (eV/atom) = -5.075
- symmetry = I-42d (122)
- Fermi-level density of states (states/eV/f.u.) = 1.44